No. 1
Density functional theory data (GGA-PBE) for PmFeGe2 after structural relaxation.

The formation energy comes out at -0.53 eV/atom. As for the energy relative to the lowest polymorph listed for this composition: 0.000 eV/atom.

It has space group Pnma (No. 62), with a = 6.9654 Å, b = 4.2097 Å, c = 10.1574 Å, α = 90.00°, β = 90.00° and γ = 90.00°. The inequivalent atoms are Pm at (0.1705, 0.2500, 0.1257), Fe at (0.0173, 0.7500, 0.3883), Ge at (0.1400, 0.2500, 0.8159) and Ge at (0.1739, 0.2500, 0.4256).

No. 2
Density functional theory data (GGA-PBE) for MnMo2Ru after structural relaxation.

The formation energy comes out at 0.15 eV/atom. As for the energy relative to the lowest polymorph listed for this composition: 0.082 eV/atom.

It has space group P4/mmm (No. 123), with a = 2.8234 Å, b = 2.8234 Å, c = 7.1672 Å, α = 90.00°, β = 90.00° and γ = 90.00°. The inequivalent atoms are Mn at (0.0000, 0.0000, 0.0000), Mo at (0.5000, 0.5000, 0.2353) and Ru at (0.0000, 0.0000, 0.5000).

No. 3
Density functional theory data (GGA-PBE) for TcPW2 after structural relaxation.

The formation energy comes out at 0.00 eV/atom.

It has space group Immm (No. 71), with a = 3.0586 Å, b = 4.3847 Å, c = 8.6763 Å, α = 90.00°, β = 90.00° and γ = 90.00°. The inequivalent atoms are Tc at (0.0000, 0.0000, 0.0000), P at (0.0000, 0.0000, 0.5000) and W at (0.0000, 0.5000, 0.2320).

No. 4
Density functional theory data (GGA-PBE) for TaSiHg2 after structural relaxation.

Its uncorrected formation energy is 14.058 kcal/mol of atoms.

It has space group I-42d (No. 122), with a = 7.6861 Å, b = 7.6861 Å, c = 5.4341 Å, α = 90.00°, β = 90.00° and γ = 90.00°. The inequivalent atoms are Ta at (0.0000, 0.0000, 0.0000), Si at (0.0000, 0.0000, 0.5000) and Hg at (0.2276, 0.2500, 0.6250).